Computed, not measured: a relaxed KMn2BrF crystal at the GGA+U level of DFT.

The structure in CIF format:
```
data_KMn2BrF
_chemical_formula_sum 'K1 Mn2 Br1 F1'
_space_group_name_H-M_alt 'P 1'
_space_group_IT_number 1
_space_group_name_Hall 'P 1'
_cell_length_a 4.973
_cell_length_b 6.574
_cell_length_c 4.973
_cell_angle_alpha 90.00
_cell_angle_beta 90.00
_cell_angle_gamma 90.00
loop_
_atom_site_label
_atom_site_type_symbol
_atom_site_fract_x
_atom_site_fract_y
_atom_site_fract_z
K1 K 0.500 0.500 0.500
Mn1 Mn 0.000 0.000 0.500
Mn2 Mn 0.500 0.000 0.000
Br1 Br 0.000 0.000 0.000
F1 F 0.000 0.500 0.000
```

Properties
**Electronic total energy**: -20.05 eV per cell
**Space group**: P4/mmm, No. 123
**Calculated volume**: 32.508 Å³ per atom